The following is a DFT calculation (GGA-PBE) of a geometry-optimized Tb6Th2Mg structure.

a = 3.538 Å, b = 3.538 Å, c = 26.276 Å
α = 90.00°, β = 90.00°, γ = 120.00°
Element x y z (fractional)
1 Tb 0.667 0.333 0.895
2 Tb 0.333 0.667 0.436
3 Tb 0.333 0.667 0.786
4 Tb 0.333 0.667 0.214
5 Tb 0.333 0.667 0.564
6 Tb 0.667 0.333 0.105
7 Th 0.667 0.333 0.327
8 Th 0.667 0.333 0.673
9 Mg 0.333 0.667 0.000

Output
Total DFT energy (no corrections): -4.830 eV per atom
DFT formation energy: 0.083 eV per atom


The following is a DFT calculation (GGA-PBE) of a geometry-optimized TbTh2Mg structure.

a = 3.485 Å, b = 3.485 Å, c = 10.062 Å
α = 90.00°, β = 90.00°, γ = 90.00°
Element x y z (fractional)
1 Mg 0.500 0.500 0.000
2 Tb 0.500 0.500 0.500
3 Th 0.000 0.000 0.759
4 Th 0.000 0.000 0.241

Output
Total DFT energy (no corrections): -5.181 eV per atom
Energy relative to the lowest polymorph listed for this composition: 24 meV/atom
DFT formation energy: 0.085 eV per atom


The following is a DFT calculation (GGA-PBE) of a geometry-optimized TbThMg2 structure.

a = 3.397 Å, b = 3.397 Å, c = 11.596 Å
α = 81.58°, β = 81.58°, γ = 60.00°
Element x y z (fractional)
1 Mg 0.252 0.252 0.245
2 Mg 0.748 0.748 0.755
3 Tb 0.000 0.000 0.000
4 Th 0.500 0.500 0.500

Output
Total DFT energy (no corrections): -3.731 eV per atom
Energy relative to the lowest polymorph listed for this composition: 76 meV/atom
DFT formation energy: 0.079 eV per atom


The following is a DFT calculation (GGA-PBE) of a geometry-optimized Tb2ThMg structure.

a = 4.967 Å, b = 4.916 Å, c = 4.916 Å
α = 90.00°, β = 90.00°, γ = 90.00°
Element x y z (fractional)
1 Mg 0.500 0.000 0.000
2 Tb 0.000 0.000 0.500
3 Tb 0.000 0.500 0.000
4 Th 0.500 0.500 0.500

Output
Total DFT energy (no corrections): -4.511 eV per atom
Energy relative to the lowest polymorph listed for this composition: 105 meV/atom
DFT formation energy: 0.057 eV per atom